Run P
The following is a DFT calculation (PBE) of crystalline BeZnCu2 at its relaxed geometry.

Cell: 2.8222 2.8222 5.7770 Å, 90.00 90.00 90.00°
Last column: nearest neighbours and their distance in Å.
Fractional coordinates of all 4 atoms:
Be 0.0000 0.0000 0.0000  4 Cu 2.30, 4 Zn 2.49
Zn 0.5000 0.5000 0.7425  4 Be 2.49, 5 Cu 2.56-2.63
Cu 0.0000 0.0000 0.4655  8 Cu 2.53-2.82, 4 Zn 2.56, 1 Be 2.69
Cu 0.5000 0.5000 0.1969  4 Be 2.30, 4 Cu 2.53

Run Q
The following is a DFT calculation (PBE) of crystalline BeZnCu2 at its relaxed geometry.

Cell: 2.7345 2.8358 5.8876 Å, 90.00 90.00 90.00°
Last column: nearest neighbours and their distance in Å.
Fractional coordinates of all 4 atoms:
Be 0.0000 0.0000 0.0000  8 Cu 2.35
Zn 0.0000 0.0000 0.5000  8 Cu 2.58, 4 Zn 2.73-2.84
Cu 0.5000 0.5000 0.2163  4 Be 2.35, 1 Cu 2.55, 4 Zn 2.58
Cu 0.5000 0.5000 0.7837  4 Be 2.35, 1 Cu 2.55, 4 Zn 2.58

Most stable to least stable, the ends of the list are run Q and run P.

Run P
The following is a DFT calculation (PBE) of crystalline BeZnCu3 at its relaxed geometry.

Cell: 5.7797 5.7797 4.2801 Å, 90.00 90.00 120.00°
Last column: nearest neighbours and their distance in Å.
Fractional coordinates of all 10 atoms:
Be 0.0000 0.0000 0.0000  2 Be 2.14, 6 Cu 2.18
Be 0.0000 0.0000 0.5000  2 Be 2.14, 6 Cu 2.18
Zn 0.3333 0.6667 0.2500  6 Cu 2.58
Zn 0.6667 0.3333 0.7500  6 Cu 2.58
Cu 0.1897 0.3794 0.7500  2 Be 2.18
Cu 0.1897 0.8103 0.7500  2 Be 2.18
Cu 0.3794 0.1897 0.2500  2 Be 2.18
Cu 0.6206 0.8103 0.7500  2 Be 2.18
Cu 0.8103 0.1897 0.2500  2 Be 2.18
Cu 0.8103 0.6206 0.2500  2 Be 2.18

Run Q
The following is a DFT calculation (PBE) of crystalline BeZnCu3 at its relaxed geometry.

Cell: 7.7541 7.7541 5.5053 Å, 98.94 98.94 20.77°
Last column: nearest neighbours and their distance in Å.
Fractional coordinates of all 10 atoms:
Be 0.2043 0.2043 0.3754  2 Be 2.28, 5 Cu 2.28-2.45, 2 Zn 2.52
Be 0.7957 0.7957 0.6246  2 Be 2.28, 5 Cu 2.28-2.45, 2 Zn 2.52
Zn 0.3899 0.3899 0.9476  2 Be 2.52, 9 Cu 2.58-2.82, 2 Zn 2.80
Zn 0.6101 0.6101 0.0524  2 Be 2.52, 9 Cu 2.58-2.82, 2 Zn 2.80
Cu 0.0017 0.0017 0.7471  8 Cu 2.53-2.80, 4 Zn 2.58
Cu 0.2133 0.2133 0.8242  3 Be 2.28-2.45, 4 Cu 2.49-2.50
Cu 0.3921 0.3921 0.4613  2 Be 2.31, 6 Cu 2.49-2.55
Cu 0.6079 0.6079 0.5387  2 Be 2.31, 6 Cu 2.49-2.55
Cu 0.7867 0.7867 0.1758  3 Be 2.28-2.45, 4 Cu 2.49-2.50
Cu 0.9983 0.9983 0.2529  8 Cu 2.53-2.80, 4 Zn 2.58

Run R
The following is a DFT calculation (PBE) of crystalline BeZnCu3 at its relaxed geometry.

Cell: 4.3864 4.3864 4.3864 Å, 90.00 90.00 90.00°
Last column: nearest neighbours and their distance in Å.
Fractional coordinates of all 5 atoms:
Be 0.0000 0.0000 0.0000  12 Cu 3.10
Zn 0.5000 0.5000 0.5000  6 Cu 2.19
Cu 0.0000 0.5000 0.5000  2 Zn 2.19
Cu 0.5000 0.0000 0.5000  2 Zn 2.19
Cu 0.5000 0.5000 0.0000  2 Zn 2.19

Run S
The following is a DFT calculation (PBE) of crystalline BeZnCu3 at its relaxed geometry.

Cell: 4.0284 4.0284 4.0284 Å, 90.00 90.00 90.00°
Last column: nearest neighbours and their distance in Å.
Fractional coordinates of all 5 atoms:
Be 0.0000 0.0000 0.0000  6 Cu 2.01
Zn 0.5000 0.5000 0.5000  12 Cu 2.85
Cu 0.0000 0.0000 0.5000  2 Be 2.01
Cu 0.0000 0.5000 0.0000  2 Be 2.01
Cu 0.5000 0.0000 0.0000  2 Be 2.01

Most stable to least stable, the ends of the list are run Q and run R.

Run P
The following is a DFT calculation (PBE) of crystalline BeZn2Cu2 at its relaxed geometry.

Cell: 5.7964 5.7964 3.8345 Å, 90.00 90.00 90.00°
Last column: nearest neighbours and their distance in Å.
Fractional coordinates of all 10 atoms:
Be 0.0000 0.0000 0.0000  4 Cu 2.21
Be 0.5000 0.5000 0.0000  4 Cu 2.21
Zn 0.1618 0.3382 0.5000  6 Cu 2.46-2.64, 1 Zn 2.65
Zn 0.3382 0.8382 0.5000  6 Cu 2.46-2.64, 1 Zn 2.65
Zn 0.6618 0.1618 0.5000  6 Cu 2.46-2.64, 1 Zn 2.65
Zn 0.8382 0.6618 0.5000  6 Cu 2.46-2.64, 1 Zn 2.65
Cu 0.1502 0.6502 0.0000  2 Be 2.21, 2 Zn 2.46, 1 Cu 2.46
Cu 0.3498 0.1502 0.0000  2 Be 2.21, 2 Zn 2.46, 1 Cu 2.46
Cu 0.6502 0.8498 0.0000  2 Be 2.21, 2 Zn 2.46, 1 Cu 2.46
Cu 0.8498 0.3498 0.0000  2 Be 2.21, 2 Zn 2.46, 1 Cu 2.46

Run Q
The following is a DFT calculation (PBE) of crystalline BeZn2Cu2 at its relaxed geometry.

Cell: 6.6741 6.6741 2.9230 Å, 90.00 90.00 90.00°
Last column: nearest neighbours and their distance in Å.
Fractional coordinates of all 10 atoms:
Be 0.0000 0.0000 0.0000  4 Zn 2.58
Be 0.5000 0.5000 0.0000  4 Zn 2.58
Zn 0.1389 0.3611 0.0000  6 Cu 2.39-2.48, 2 Be 2.58, 1 Zn 2.62
Zn 0.3611 0.8611 0.0000  6 Cu 2.39-2.48, 2 Be 2.58, 1 Zn 2.62
Zn 0.6389 0.1389 0.0000  6 Cu 2.39-2.48, 2 Be 2.58, 1 Zn 2.62
Zn 0.8611 0.6389 0.0000  6 Cu 2.39-2.48, 2 Be 2.58, 1 Zn 2.62
Cu 0.1611 0.6611 0.5000  6 Zn 2.39-2.48
Cu 0.3389 0.1611 0.5000  6 Zn 2.39-2.48
Cu 0.6611 0.8389 0.5000  6 Zn 2.39-2.48
Cu 0.8389 0.3389 0.5000  6 Zn 2.39-2.48

Most stable to least stable, the ends of the list are run P and run Q.

Run P
The following is a DFT calculation (PBE) of crystalline Be2Zn2Cu at its relaxed geometry.

Cell: 6.1942 6.1942 3.0207 Å, 90.00 90.00 90.00°
Last column: nearest neighbours and their distance in Å.
Fractional coordinates of all 10 atoms:
Be 0.1314 0.3686 0.0000  1 Be 2.30, 6 Zn 2.33-2.39, 2 Cu 2.42
Be 0.3686 0.8686 0.0000  1 Be 2.30, 6 Zn 2.33-2.39, 2 Cu 2.42
Be 0.6314 0.1314 0.0000  1 Be 2.30, 6 Zn 2.33-2.39, 2 Cu 2.42
Be 0.8686 0.6314 0.0000  1 Be 2.30, 6 Zn 2.33-2.39, 2 Cu 2.42
Zn 0.1663 0.6663 0.5000  6 Be 2.33-2.39
Zn 0.3337 0.1663 0.5000  6 Be 2.33-2.39
Zn 0.6663 0.8337 0.5000  6 Be 2.33-2.39
Zn 0.8337 0.3337 0.5000  6 Be 2.33-2.39
Cu 0.0000 0.0000 0.0000  4 Be 2.42
Cu 0.5000 0.5000 0.0000  4 Be 2.42

Run Q
The following is a DFT calculation (PBE) of crystalline Be2Zn2Cu at its relaxed geometry.

Cell: 6.8476 6.8476 2.5263 Å, 90.00 90.00 90.00°
Last column: nearest neighbours and their distance in Å.
Fractional coordinates of all 10 atoms:
Be 0.1727 0.3273 0.0000  6 Zn 2.29-2.44, 2 Be 2.53
Be 0.3273 0.8273 0.0000  6 Zn 2.29-2.44, 2 Be 2.53
Be 0.6727 0.1727 0.0000  6 Zn 2.29-2.44, 2 Be 2.53
Be 0.8273 0.6727 0.0000  6 Zn 2.29-2.44, 2 Be 2.53
Zn 0.1297 0.6297 0.5000  6 Be 2.29-2.44, 3 Zn 2.51-2.53
Zn 0.3703 0.1297 0.5000  6 Be 2.29-2.44, 3 Zn 2.51-2.53
Zn 0.6297 0.8703 0.5000  6 Be 2.29-2.44, 3 Zn 2.51-2.53
Zn 0.8703 0.3703 0.5000  6 Be 2.29-2.44, 3 Zn 2.51-2.53
Cu 0.0000 0.0000 0.5000  2 Cu 2.53, 4 Zn 2.69
Cu 0.5000 0.5000 0.5000  2 Cu 2.53, 4 Zn 2.69

Most stable to least stable, the ends of the list are run P and run Q.

Run P
The following is a DFT calculation (PBE) of crystalline ZrBe2Cu at its relaxed geometry.

Cell: 4.1506 4.1506 4.1506 Å, 60.00 60.00 60.00°
Last column: nearest neighbours and their distance in Å.
Fractional coordinates of all 4 atoms:
Zr 0.0000 0.0000 0.0000  8 Be 2.54
Be 0.2500 0.2500 0.2500  4 Cu 2.54, 4 Zr 2.54
Be 0.7500 0.7500 0.7500  4 Zr 2.54, 4 Cu 2.54
Cu 0.5000 0.5000 0.5000  8 Be 2.54

Run Q
The following is a DFT calculation (PBE) of crystalline ZrBe2Cu at its relaxed geometry.

Cell: 3.4784 3.9542 3.9861 Å, 90.00 90.00 90.00°
Last column: nearest neighbours and their distance in Å.
Fractional coordinates of all 4 atoms:
Zr 0.0000 0.0000 0.0000  8 Be 2.63-2.65, 4 Cu 2.81
Be 0.5000 0.0000 0.5000  4 Cu 2.63, 4 Zr 2.65, 4 Be 2.81
Be 0.5000 0.5000 0.0000  4 Zr 2.63, 4 Cu 2.65, 4 Be 2.81
Cu 0.0000 0.5000 0.5000  8 Be 2.63-2.65, 4 Zr 2.81

Most stable to least stable, the ends of the list are run P and run Q.

Run P
The following is a DFT calculation (PBE) of crystalline ZrBe2Cu at its relaxed geometry.

Cell: 4.2002 4.2002 4.2002 Å, 60.00 60.00 60.00°
Last column: nearest neighbours and their distance in Å.
Fractional coordinates of all 4 atoms:
Zr 0.0000 0.0000 0.0000  4 Be 2.57, 4 Cu 2.57
Be 0.5000 0.5000 0.5000  4 Be 2.57, 4 Cu 2.57
Be 0.7500 0.7500 0.7500  4 Zr 2.57, 4 Be 2.57
Cu 0.2500 0.2500 0.2500  4 Be 2.57, 4 Zr 2.57

Run Q
The following is a DFT calculation (PBE) of crystalline ZrBe2Cu at its relaxed geometry.

Cell: 8.6303 8.6303 8.6303 Å, 18.15 18.15 18.15°
Last column: nearest neighbours and their distance in Å.
Fractional coordinates of all 4 atoms:
Zr 0.0000 0.0000 0.0000  6 Zr 2.72, 6 Be 2.89
Be 0.2382 0.2382 0.2382  3 Cu 2.41
Be 0.7618 0.7618 0.7618  3 Cu 2.41
Cu 0.5000 0.5000 0.5000  6 Be 2.41

Most stable to least stable, the ends of the list are run P and run Q.

Run P
The following is a DFT calculation (PBE) of crystalline ZrBe2Cu at its relaxed geometry.

Cell: 7.9171 7.9171 7.9171 Å, 150.89 150.89 41.63°
Last column: nearest neighbours and their distance in Å.
Fractional coordinates of all 8 atoms:
Zr 0.3750 0.6250 0.7500  4 Cu 2.81, 8 Be 2.89
Zr 0.6250 0.3750 0.2500  4 Cu 2.81, 8 Be 2.89
Be 0.0000 0.0000 0.0000  2 Be 1.99, 2 Cu 2.10
Be 0.0000 0.0000 0.5000  2 Be 1.99, 2 Cu 2.10
Be 0.0000 0.5000 0.0000  2 Be 1.99, 2 Cu 2.10
Be 0.5000 0.0000 0.5000  2 Be 1.99, 2 Cu 2.10
Cu 0.1250 0.8750 0.2500  4 Be 2.10
Cu 0.8750 0.1250 0.7500  4 Be 2.10

Run Q
The following is a DFT calculation (PBE) of crystalline ZrBe2Cu at its relaxed geometry.

Cell: 3.7145 3.7145 4.9389 Å, 112.24 112.24 60.21°
Last column: nearest neighbours and their distance in Å.
Fractional coordinates of all 4 atoms:
Zr 0.0000 0.0000 0.0000  4 Cu 2.71-2.76, 7 Be 2.74-3.01
Be 0.4918 0.4918 0.4749  3 Be 2.18-2.19, 3 Cu 2.23
Be 0.7949 0.7949 0.3841  3 Be 2.18-2.19, 3 Cu 2.36-2.38
Cu 0.2040 0.2040 0.6112  6 Be 2.23-2.38

Most stable to least stable, the ends of the list are run Q and run P.

Run P
The following is a DFT calculation (PBE) of crystalline ZrBe2Cu at its relaxed geometry.

Cell: 2.6994 3.0253 6.2922 Å, 90.00 90.00 90.00°
Last column: nearest neighbours and their distance in Å.
Fractional coordinates of all 4 atoms:
Zr 0.0000 0.0000 0.0000  2 Zr 2.70, 5 Be 2.78-3.01, 4 Cu 2.88
Be 0.0000 0.0000 0.4787  4 Be 2.31, 4 Cu 2.37
Be 0.5000 0.5000 0.3019  4 Be 2.31, 1 Cu 2.35
Cu 0.5000 0.5000 0.6748  5 Be 2.35-2.37

Run Q
The following is a DFT calculation (PBE) of crystalline ZrBe2Cu at its relaxed geometry.

Cell: 2.7076 3.7056 5.3539 Å, 90.00 104.48 90.00°
Last column: nearest neighbours and their distance in Å.
Fractional coordinates of all 4 atoms:
Zr 0.0000 0.0000 0.0000  7 Be 2.67-2.81, 2 Zr 2.71
Be 0.6316 0.5000 0.2650  2 Be 2.15, 2 Cu 2.27-2.28
Be 0.7306 0.0000 0.4744  2 Be 2.15
Cu 0.3045 0.5000 0.6183  6 Be 2.27-2.42

Most stable to least stable, the ends of the list are run Q and run P.